1.
{
  "formula": "AcZrBi",
  "functional": "PBE",
  "state": "relaxed",
  "relative_energy_ev_per_fu": 0.00,
  "lattice": [[0.0000, 3.7588, 3.7588], [3.7588, 0.0000, 3.7588], [3.7588, 3.7588, 0.0000]],
  "species": ["Bi", "Ac", "Zr"],
  "fractional_positions": [[0.0000, 0.0000, 0.0000], [0.2500, 0.2500, 0.2500], [0.7500, 0.7500, 0.7500]]
}


2.
{
  "formula": "Ac2Th2Br",
  "functional": "PBE",
  "state": "relaxed",
  "total_energy_ev_per_cell": -21.585,
  "lattice": [[-3.0208, -1.8435, 3.1649], [-0.5568, -3.8236, -2.7587], [6.7117, -3.9424, 4.1097]],
  "species": ["Ac", "Th", "Ac", "Br", "Th"],
  "fractional_positions": [[0.5000, 0.0000, 0.5000], [0.5000, 0.5000, 0.1669], [0.0000, 0.5000, 0.5000], [0.0000, 0.0000, 0.0000], [0.5000, 0.5000, 0.8331]]
}


3.
{
  "formula": "AcCoC2",
  "functional": "PBE",
  "state": "relaxed",
  "total_energy_ev_per_cell": -30.218,
  "lattice": [[-1.6072, -0.8582, 3.6934], [3.0989, 1.5590, 1.7108], [-0.7717, 3.7520, 0.5360]],
  "species": ["C", "Co", "Ac", "C"],
  "fractional_positions": [[0.5000, 0.5451, 0.8435], [0.5000, 0.3875, 0.3875], [0.0000, 0.0039, 0.0039], [0.5000, 0.8435, 0.5451]]
}


4.
{
  "formula": "Ac3CuC",
  "functional": "PBE",
  "state": "relaxed",
  "total_energy_ev_per_cell": -23.993,
  "lattice": [[5.4025, 0.0000, 0.0000], [0.0000, 5.4025, 0.0000], [0.0000, 0.0000, 5.4025]],
  "species": ["Cu", "Ac", "C", "Ac", "Ac"],
  "fractional_positions": [[0.5000, 0.5000, 0.5000], [0.5000, 0.0000, 0.0000], [0.0000, 0.0000, 0.0000], [0.0000, 0.0000, 0.5000], [0.0000, 0.5000, 0.0000]]
}


5.
{
  "formula": "AcW3C4",
  "functional": "PBE",
  "state": "relaxed",
  "total_energy_ev_per_cell": -75.621,
  "lattice": [[2.1461, 5.6059, 1.1004], [-3.9025, 2.9843, 3.6204], [2.5865, -5.5066, 0.4797]],
  "species": ["C", "C", "C", "W", "W", "W", "C", "Ac"],
  "fractional_positions": [[0.4498, 0.8496, 0.0000], [0.1504, 0.1504, 0.6002], [0.8496, 0.4498, 0.0000], [0.7500, 0.2500, 0.5000], [0.2500, 0.7500, 0.5000], [0.5000, 0.5000, 0.0000], [0.5502, 0.5502, 0.3998], [0.0000, 0.0000, 0.0000]]
}


6.
{
  "formula": "Ac2Cd",
  "functional": "PBE",
  "state": "relaxed",
  "total_energy_ev_per_cell": -10.217,
  "lattice": [[-3.4422, -1.8851, 9.2392], [4.8357, -6.4985, 5.9288], [5.0539, 3.3185, 8.0132]],
  "species": ["Ac", "Ac", "Ac", "Cd", "Cd", "Ac"],
  "fractional_positions": [[0.8750, 0.3750, 0.3750], [0.3750, 0.8750, 0.3750], [0.3750, 0.3750, 0.3750], [0.5000, 0.5000, 0.5000], [0.2500, 0.2500, 0.2500], [0.3750, 0.3750, 0.8750]]
}